Below is AcMnPbO4 after structural relaxation, with properties calculated at the GGA+U level.

Structure (CIF):
```
data_AcMnPbO4
_symmetry_space_group_name_H-M 'I m m a'
_symmetry_Int_Tables_number 74
_symmetry_space_group_name_Hall '-I 2b 2'
_cell_length_a 6.105
_cell_length_b 7.937
_cell_length_c 10.105
_cell_angle_alpha 90.00
_cell_angle_beta 90.00
_cell_angle_gamma 90.00
loop_
_atom_site_label
_atom_site_type_symbol
_atom_site_fract_x
_atom_site_fract_y
_atom_site_fract_z
Ac1 Ac 0.000 0.000 0.000
Mn1 Mn 0.250 0.250 0.250
Pb1 Pb 0.000 0.250 0.651
O1 O 0.000 0.087 0.244
O2 O 0.244 0.250 0.999
```

Summary:
Energy   -0.5150 Ry per atom